a) DFT (PBE-GGA) results for crystalline TlCdI4 at its relaxed geometry.

Cell: 8.5719 8.5719 9.8300 Å, 90.00 90.00 90.00°
Last column: nearest neighbours and their distance in Å.
Space group P4_2/mmc (No. 131)
Symmetry-distinct sites (fractional):
Tl1 0.0000 0.5000 0.0000  4 I 3.16
Cd1 0.0000 0.0000 0.0000  4 I 2.88
I1 0.2271 0.2473 0.5000  1 Cd 2.88, 1 Tl 3.16


b) DFT (PBE-GGA) results for crystalline TlCdI4 at its relaxed geometry.

Cell: 20.3143 6.6909 9.3238 Å, 90.00 106.48 90.00°
Last column: nearest neighbours and their distance in Å.
Space group C2/m (No. 12)
Symmetry-distinct sites (fractional):
Tl1 0.1883 0.0000 0.3011  5 I 3.05-3.37
Cd1 0.1615 0.0000 0.7466  3 I 2.74-2.95
I1 0.0650 0.0000 0.4433  1 Cd 2.95, 1 I 3.11, 1 Tl 3.15
I2 0.0914 0.0000 0.9581  1 Cd 2.74
I3 0.1714 0.5000 0.7570  1 Tl 3.05, 2 Cd 3.35
I4 0.2074 0.5000 0.2931  1 Cd 2.79


Which structure is the least stable? The one labeled a).


a) DFT (PBE-GGA) results for crystalline Tl2CdI at its relaxed geometry.

Cell: 5.7196 5.7196 4.1835 Å, 90.00 90.00 90.00°
Last column: nearest neighbours and their distance in Å.
Space group P4/mmm (No. 123)
Symmetry-distinct sites (fractional):
Tl1 0.0000 0.5000 0.0000  4 I 3.54, 4 Cd 3.54
Cd1 0.0000 0.0000 0.5000  8 Tl 3.54
I1 0.5000 0.5000 0.5000  8 Tl 3.54


b) DFT (PBE-GGA) results for crystalline Tl2CdI at its relaxed geometry.

Cell: 4.1945 4.1945 28.3683 Å, 90.00 90.00 120.00°
Last column: nearest neighbours and their distance in Å.
Space group R3m (No. 160, hexagonal axes)
Symmetry-distinct sites (fractional):
Tl1 0.0000 0.0000 0.0000  3 Cd 3.33, 3 I 3.46
Tl2 0.0000 0.0000 0.1720  3 Cd 3.34, 3 I 3.41
Cd1 0.0000 0.0000 0.5863  6 Tl 3.33-3.34
I1 0.0000 0.0000 0.7540  6 Tl 3.41-3.46


Which structure is the least stable? The one labeled b).


a) DFT (PBE-GGA) results for crystalline Tl2CdI at its relaxed geometry.

Cell: 4.2067 4.2067 28.2494 Å, 90.00 90.00 120.00°
Last column: nearest neighbours and their distance in Å.
Space group R-3m (No. 166, hexagonal axes)
Symmetry-distinct sites (fractional):
Tl1 0.0000 0.0000 0.2477  3 Cd 3.34, 3 I 3.43
Cd1 0.0000 0.0000 0.5000  6 Tl 3.34
I1 0.0000 0.0000 0.0000  6 Tl 3.43


b) DFT (PBE-GGA) results for crystalline Tl2CdI at its relaxed geometry.

Cell: 4.2281 4.2281 7.4513 Å, 90.00 90.00 90.00°
Last column: nearest neighbours and their distance in Å.
Space group P4/mmm (No. 123)
Symmetry-distinct sites (fractional):
Tl1 0.0000 0.0000 0.2290  1 Tl 3.41, 4 Cd 3.44, 4 I 3.61
Cd1 0.5000 0.5000 0.0000  8 Tl 3.44, 2 I 3.73
I1 0.5000 0.5000 0.5000  8 Tl 3.61, 2 Cd 3.73


Which structure is the least stable? The one labeled a).


a) DFT (PBE-GGA) results for crystalline Tl2CdI at its relaxed geometry.

Cell: 5.2110 5.2110 22.5699 Å, 90.00 90.00 90.00°
Last column: nearest neighbours and their distance in Å.
Space group I-42d (No. 122)
Symmetry-distinct sites (fractional):
Tl1 0.2332 0.2500 0.1250  2 Cd 3.34, 2 I 3.40, 2 Tl 3.56
Cd1 0.0000 0.0000 0.0000  4 Tl 3.34, 4 I 3.68
I1 0.0000 0.0000 0.5000  4 Tl 3.40, 4 Cd 3.68


b) DFT (PBE-GGA) results for crystalline Tl2CdI at its relaxed geometry.

Cell: 8.2242 8.2242 8.2242 Å, 90.00 90.00 90.00°
Last column: nearest neighbours and their distance in Å.
Space group Fm-3m (No. 225)
Symmetry-distinct sites (fractional):
Tl1 0.2500 0.2500 0.2500  4 Cd 3.56, 4 I 3.56
Cd1 0.0000 0.0000 0.0000  8 Tl 3.56
I1 0.0000 0.0000 0.5000  8 Tl 3.56


Which structure is the least stable? The one labeled a).


a) DFT (PBE-GGA) results for crystalline VCdI2 at its relaxed geometry.

Cell: 9.8315 9.8315 5.8291 Å, 90.00 90.00 90.00°
Last column: nearest neighbours and their distance in Å.
Space group I-42d (No. 122)
Symmetry-distinct sites (fractional):
V1 0.0000 0.0000 0.0000  4 I 2.77, 2 Cd 2.91
Cd1 0.0000 0.0000 0.5000  2 V 2.91
I1 0.1080 0.2500 0.1250  2 V 2.77


b) DFT (PBE-GGA) results for crystalline VCdI2 at its relaxed geometry.

Cell: 7.6331 7.6331 7.6331 Å, 90.00 90.00 90.00°
Last column: nearest neighbours and their distance in Å.
Space group Fm-3m (No. 225)
Symmetry-distinct sites (fractional):
V1 0.0000 0.0000 0.0000  8 I 3.31
Cd1 0.0000 0.0000 0.5000  8 I 3.31
I1 0.2500 0.2500 0.2500  4 Cd 3.31, 4 V 3.31


Which structure is the least stable? The one labeled b).


a) DFT (PBE-GGA) results for crystalline VCd3I at its relaxed geometry.

Cell: 5.5349 5.5349 5.5349 Å, 90.00 90.00 90.00°
Last column: nearest neighbours and their distance in Å.
Space group Pm-3m (No. 221)
Symmetry-distinct sites (fractional):
V1 0.0000 0.0000 0.0000  6 Cd 2.77
Cd1 0.0000 0.0000 0.5000  2 V 2.77
I1 0.5000 0.5000 0.5000  12 Cd 3.91


b) DFT (PBE-GGA) results for crystalline VCd3I at its relaxed geometry.

Cell: 5.8941 5.8941 5.8941 Å, 90.00 90.00 90.00°
Last column: nearest neighbours and their distance in Å.
Space group Pm-3m (No. 221)
Symmetry-distinct sites (fractional):
V1 0.0000 0.0000 0.0000  12 Cd 4.17
Cd1 0.0000 0.5000 0.5000  2 I 2.95
I1 0.5000 0.5000 0.5000  6 Cd 2.95


Which structure is the least stable? The one labeled b).